Crystalline AlGaPd4 at its relaxed geometry. Source: the Alexandria database, functional GGA-PBE.

a b c (Å): 7.1593 4.1352 7.1480
angles (deg): 90.00 109.43 90.00
Space group C2/m (No. 12)
Asymmetric unit:
Al 0.0000 0.0000 0.0000 (multiplicity 2)
Ga 0.0000 0.5000 0.5000 (multiplicity 2)
Pd 0.1243 0.0000 0.3729 (multiplicity 4)
Pd 0.1258 0.5000 0.8772 (multiplicity 4)

Computed properties:
Density (kg/m3): 8693
Energy relative to the lowest polymorph listed for this composition (meV/atom): 66
DFT formation energy (eV/atom): -0.609
Crystal system: monoclinic
Calculated total energy (eV/atom): -5.20

---

Crystalline AlGa6Pd12 at its relaxed geometry. Source: the Alexandria database, functional GGA-PBE.

a b c (Å): 10.7955 10.7955 10.0478
angles (deg): 90.00 90.00 120.00
Space group R-3 (No. 148, hexagonal axes)
Asymmetric unit:
Al 0.0000 0.0000 0.0000 (multiplicity 3)
Ga 0.0462 0.2152 0.6775 (multiplicity 18)
Pd 0.0472 0.2414 0.9251 (multiplicity 18)
Pd 0.0549 0.2462 0.4240 (multiplicity 18)

Computed properties:
Density (kg/m3): 8461
DFT formation energy (eV/atom): -0.456
Crystal system: trigonal
Calculated total energy (eV/atom): -4.89

---

Crystalline AlGa4Pd at its relaxed geometry. Source: the Alexandria database, functional GGA-PBE.

a b c (Å): 6.4657 6.4657 10.0165
angles (deg): 90.00 90.00 90.00
Space group I4/mcm (No. 140)
Asymmetric unit:
Al 0.0000 0.0000 0.0000 (multiplicity 4)
Ga 0.1464 0.3536 0.1379 (multiplicity 16)
Pd 0.0000 0.0000 0.2500 (multiplicity 4)

Computed properties:
Density (kg/m3): 6540
Energy relative to the lowest polymorph listed for this composition (meV/atom): 0
DFT formation energy (eV/atom): -0.283
Crystal system: tetragonal
Calculated total energy (eV/atom): -3.79

---

Crystalline AlGa2Pd8 at its relaxed geometry. Source: the Alexandria database, functional GGA-PBE.

a b c (Å): 4.1006 7.0138 11.7422
angles (deg): 90.00 90.00 90.00
Space group Immm (No. 71)
Asymmetric unit:
Al 0.0000 0.0000 0.0000 (multiplicity 2)
Ga 0.0000 0.0000 0.3095 (multiplicity 4)
Pd 0.0000 0.1926 0.5000 (multiplicity 4)
Pd 0.0000 0.2763 0.1604 (multiplicity 8)
Pd 0.0000 0.5000 0.3597 (multiplicity 4)

Computed properties:
Density (kg/m3): 10009
Energy relative to the lowest polymorph listed for this composition (meV/atom): 0
DFT formation energy (eV/atom): -0.554
Crystal system: orthorhombic
Calculated total energy (eV/atom): -5.22

---

Crystalline Al2Ga2Pd at its relaxed geometry. Source: the Alexandria database, functional GGA-PBE.

a b c (Å): 6.6130 6.6130 3.9975
angles (deg): 90.00 90.00 90.00
Space group P4/mbm (No. 127)
Asymmetric unit:
Al 0.1451 0.3549 0.0000 (multiplicity 4)
Ga 0.1619 0.6619 0.5000 (multiplicity 4)
Pd 0.0000 0.0000 0.0000 (multiplicity 2)

Computed properties:
Density (kg/m3): 5696
Energy relative to the lowest polymorph listed for this composition (meV/atom): 0
DFT formation energy (eV/atom): -0.144
Crystal system: tetragonal
Calculated total energy (eV/atom): -3.89

---

Crystalline AlGa4Pd7 at its relaxed geometry. Source: the Alexandria database, functional GGA-PBE.

a b c (Å): 11.8633 4.5832 9.1387
angles (deg): 90.00 127.18 90.00
Space group C2/m (No. 12)
Asymmetric unit:
Al 0.0000 0.0000 0.0000 (multiplicity 2)
Ga 0.0801 0.5000 0.7844 (multiplicity 4)
Ga 0.2177 0.5000 0.3424 (multiplicity 4)
Pd 0.0000 0.5000 0.0000 (multiplicity 2)
Pd 0.0734 0.0000 0.3157 (multiplicity 4)
Pd 0.1443 0.5000 0.5669 (multiplicity 4)
Pd 0.2152 0.0000 0.8701 (multiplicity 4)

Computed properties:
Density (kg/m3): 8815
DFT formation energy (eV/atom): -0.480
Crystal system: monoclinic
Calculated total energy (eV/atom): -4.83

---

Crystalline Al5GaPd2 at its relaxed geometry. Source: the Alexandria database, functional GGA-PBE.

a b c (Å): 3.5697 8.0667 9.3740
angles (deg): 90.00 90.00 90.00
Space group Immm (No. 71)
Asymmetric unit:
Al 0.0000 0.0000 0.0000 (multiplicity 2)
Al 0.0000 0.3060 0.3534 (multiplicity 8)
Ga 0.0000 0.5000 0.0000 (multiplicity 2)
Pd 0.0000 0.0000 0.2728 (multiplicity 4)

Computed properties:
Density (kg/m3): 5136
DFT formation energy (eV/atom): -0.393
Crystal system: orthorhombic
Calculated total energy (eV/atom): -4.41

---

Crystalline AlGaPd6 at its relaxed geometry. Source: the Alexandria database, functional GGA-PBE.

a b c (Å): 7.6204 7.6880 4.1174
angles (deg): 90.00 90.00 90.00
Space group Cmmm (No. 65)
Asymmetric unit:
Al 0.0000 0.0000 0.0000 (multiplicity 2)
Ga 0.0000 0.5000 0.0000 (multiplicity 2)
Pd 0.0000 0.1929 0.5000 (multiplicity 4)
Pd 0.1944 0.5000 0.5000 (multiplicity 4)
Pd 0.2500 0.2500 0.0000 (multiplicity 4)

Computed properties:
Density (kg/m3): 10122
Energy relative to the lowest polymorph listed for this composition (meV/atom): 0
DFT formation energy (eV/atom): -0.559
Crystal system: orthorhombic
Calculated total energy (eV/atom): -5.30